Record 1
A plane-wave DFT calculation with GGA-PBE was carried out for TlReRh2 after structural relaxation.

a b c (Å): 4.5446 4.5446 4.5446
angles (deg): 60.00 60.00 60.00
With the nearest neighbours (Å) after each atom.
Element x y z (fractional)
1 Tl 0.0000 0.0000 0.0000  8 Rh 2.78
2 Re 0.5000 0.5000 0.5000  8 Rh 2.78
3 Rh 0.2500 0.2500 0.2500  4 Re 2.78, 4 Tl 2.78
4 Rh 0.7500 0.7500 0.7500  4 Re 2.78, 4 Tl 2.78

Total DFT energy (no corrections) (eV/atom): -6.856
ΔE_f (meV per atom): 523
Density of states at the Fermi level (states/eV per cell): 4.9
Magnetization (Bohr magnetons per cell): 3.03
Distance to the lowest polymorph of the same formula (meV/atom): 443


Record 2
A plane-wave DFT calculation with GGA-PBE was carried out for LaTa2CuClO7 after structural relaxation.

a b c (Å): 3.9064 3.9064 11.7965
angles (deg): 90.00 90.00 90.00
With the nearest neighbours (Å) after each atom.
Element x y z (fractional)
1 La 0.0000 0.0000 0.0000  12 O 2.68-2.76
2 Ta 0.5000 0.5000 0.1916  5 O 1.80-2.00
3 Ta 0.5000 0.5000 0.8084  5 O 1.80-2.00
4 Cu 0.5000 0.5000 0.5000  2 O 1.84
5 Cl 0.0000 0.0000 0.5000  4 Cu 2.76
6 O 0.0000 0.5000 0.1550  2 Ta 2.00
7 O 0.0000 0.5000 0.8450  2 Ta 2.00
8 O 0.5000 0.0000 0.1550  2 Ta 2.00
9 O 0.5000 0.0000 0.8450  2 Ta 2.00
10 O 0.5000 0.5000 0.0000  2 Ta 2.26
11 O 0.5000 0.5000 0.3442  1 Ta 1.80, 1 Cu 1.84
12 O 0.5000 0.5000 0.6558  1 Ta 1.80, 1 Cu 1.84

Total DFT energy (no corrections) (eV/atom): -8.288
Density of states at the Fermi level (states/eV per cell): 2.8
Formation energy (no corrections) (eV per atom): -2.51
Magnetization (Bohr magnetons per cell): 0.59


Record 3
A plane-wave DFT calculation with GGA-PBE was carried out for PuThIrPt after structural relaxation.

a b c (Å): 5.0097 5.0097 5.0097
angles (deg): 60.00 60.00 60.00
With the nearest neighbours (Å) after each atom.
Element x y z (fractional)
1 Pu 0.0000 0.0000 0.0000  4 Ir 3.07, 4 Pt 3.07
2 Th 0.5000 0.5000 0.5000  4 Ir 3.07, 4 Pt 3.07
3 Ir 0.7500 0.7500 0.7500  4 Pu 3.07, 4 Th 3.07
4 Pt 0.2500 0.2500 0.2500  4 Th 3.07, 4 Pu 3.07

Total DFT energy (no corrections) (eV/atom): -9.904
ΔE_f (meV per atom): -740
Density of states at the Fermi level (states/eV per cell): 11.4
Magnetization (Bohr magnetons per cell): 5.75
Distance to the lowest polymorph of the same formula (meV/atom): 100


Record 4
A plane-wave DFT calculation with GGA-PBE was carried out for Si2OsPb after structural relaxation.

a b c (Å): 5.1950 5.1950 5.1950
angles (deg): 142.66 120.33 72.54
With the nearest neighbours (Å) after each atom.
Element x y z (fractional)
1 Si 0.0000 0.0000 0.0000  2 Os 2.39, 2 Si 2.50
2 Si 0.7770 0.2770 0.5000  2 Si 2.50
3 Os 0.2057 0.7057 0.5000  2 Si 2.39
4 Pb 0.5008 0.5008 0.0000  6 Si 2.85-3.07, 4 Os 2.98-3.10

Total DFT energy (no corrections) (eV/atom): -5.752
Density of states at the Fermi level (states/eV per cell): 2.3
Formation energy (no corrections) (eV per atom): 0.69
Magnetization (Bohr magnetons per cell): 0.00


Record 5
A plane-wave DFT calculation with GGA-PBE was carried out for Ce2SmTc after structural relaxation.

a b c (Å): 9.0251 9.0251 9.0251
angles (deg): 24.91 24.91 24.91
With the nearest neighbours (Å) after each atom.
Element x y z (fractional)
1 Ce 0.0000 0.0000 0.0000  3 Tc 2.70
2 Ce 0.2146 0.2146 0.2146  3 Tc 2.77
3 Sm 0.7731 0.7731 0.7731  6 Ce 3.58-3.62, 6 Sm 3.89
4 Tc 0.6098 0.6098 0.6098  6 Ce 2.70-2.77

Total DFT energy (no corrections) (eV/atom): -6.610
ΔE_f (meV per atom): 129
Density of states at the Fermi level (states/eV per cell): 8.0
Magnetization (Bohr magnetons per cell): 0.00
Distance to the lowest polymorph of the same formula (meV/atom): 143


Record 6
A plane-wave DFT calculation with GGA-PBE was carried out for AlFeHg2 after structural relaxation.

a b c (Å): 2.9798 2.9798 8.4051
angles (deg): 90.00 90.00 90.00
With the nearest neighbours (Å) after each atom.
Element x y z (fractional)
1 Al 0.0000 0.0000 0.0000  4 Al 2.98, 8 Hg 3.07
2 Fe 0.0000 0.0000 0.5000  8 Hg 2.88, 4 Fe 2.98
3 Hg 0.5000 0.5000 0.2663  4 Fe 2.88, 4 Hg 2.98, 4 Al 3.07
4 Hg 0.5000 0.5000 0.7337  4 Fe 2.88, 4 Hg 2.98, 4 Al 3.07

Total DFT energy (no corrections) (eV/atom): -2.813
ΔE_f (meV per atom): 389
Density of states at the Fermi level (states/eV per cell): 2.7
Magnetization (Bohr magnetons per cell): 2.88